Entry 1:
SrY2P | GGA-PBE | optimized geometry

Geometry as extended XYZ:
```
4
Lattice="5.977 -1.880 0.000 5.977 1.880 0.000 -3.296 0.000 5.787" Properties=species:S:1:pos:R:3 pbc="T T T"
Sr 0.000 0.000 0.000
Y 5.569 0.000 3.701
Y 8.819 0.000 1.866
P -0.058 0.000 5.701
```

Results
The calculation puts the formation energy from the elements at -0.542 eV/atom.

Entry 2:
KBaMn2 | GGA-PBE | optimized geometry

Geometry as extended XYZ:
```
4
Lattice="4.100 -4.131 0.000 4.100 4.131 0.000 0.000 0.000 4.069" Properties=species:S:1:pos:R:3 pbc="T T T"
K 0.000 0.000 0.000
Ba 4.100 0.000 0.000
Mn 2.050 2.065 2.035
Mn 2.050 -2.065 2.035
```

Results
As for the relative energy among the computed polymorphs: 232 meV/atom. The calculation puts the formation energy from the elements at 0.947 eV/atom.

Entry 3:
PrDyAg4 | GGA-PBE | optimized geometry

Geometry as extended XYZ:
```
6
Lattice="3.950 0.000 0.000 0.000 3.969 0.000 0.000 0.000 9.771" Properties=species:S:1:pos:R:3 pbc="T T T"
Pr 0.000 0.000 0.000
Dy 1.975 1.984 4.886
Ag 0.000 1.984 2.533
Ag 0.000 1.984 7.239
Ag 1.975 0.000 2.542
Ag 1.975 0.000 7.229
```

Results
As for the relative energy among the computed polymorphs: 279 meV/atom. The calculation puts the formation energy from the elements at 0.013 eV/atom.

Entry 4:
ReIr2Cl | GGA-PBE | optimized geometry

Geometry as extended XYZ:
```
4
Lattice="4.759 0.000 0.000 0.000 4.759 0.000 0.000 0.000 2.737" Properties=species:S:1:pos:R:3 pbc="T T T"
Re 0.000 0.000 0.000
Ir 0.000 2.380 1.368
Ir 2.380 0.000 1.368
Cl 2.380 2.380 0.000
```

Results
As for the relative energy among the computed polymorphs: 719 meV/atom. For the uncorrected formation energy, the calculation gives 1.01 eV per atom.

Entry 5:
SrScZn | GGA-PBE | optimized geometry

Geometry as extended XYZ:
```
3
Lattice="-1.808 1.808 6.390 1.808 -1.808 6.390 1.808 1.808 -6.390" Properties=species:S:1:pos:R:3 pbc="T T T"
Sr 0.000 0.000 0.000
Sc 0.000 0.000 3.517
Zn 0.000 0.000 8.656
```

Results
As for the relative energy among the computed polymorphs: 56 meV/atom. The calculation puts the formation energy from the elements at -0.058 eV/atom.

Entry 6:
Rb2SrNiPt | GGA-PBE | optimized geometry

Geometry as extended XYZ:
```
5
Lattice="6.819 0.000 0.000 0.000 6.819 0.000 0.000 0.000 4.860" Properties=species:S:1:pos:R:3 pbc="T T T"
Rb 0.000 3.410 0.000
Rb 3.410 0.000 0.000
Sr 0.000 0.000 0.000
Ni 0.000 0.000 2.430
Pt 3.410 3.410 2.430
```

Results
The calculation puts the formation energy from the elements at 1.097 eV/atom.

Entry 7:
DyThSb2 | GGA-PBE | optimized geometry

Geometry as extended XYZ:
```
4
Lattice="3.864 -2.228 0.000 3.864 2.228 0.000 -2.566 0.000 7.212" Properties=species:S:1:pos:R:3 pbc="T T T"
Dy 0.000 0.000 0.000
Th 2.581 0.000 3.606
Sb 0.007 0.000 5.475
Sb 5.154 0.000 1.737
```

Results
As for the relative energy among the computed polymorphs: 0 meV/atom. For the uncorrected formation energy, the calculation gives -1.02 eV per atom.

Entry 8:
CrHg3Br | GGA-PBE | optimized geometry

Geometry as extended XYZ:
```
5
Lattice="6.097 0.000 0.000 0.000 6.097 0.000 0.000 0.000 6.097" Properties=species:S:1:pos:R:3 pbc="T T T"
Cr 0.000 0.000 0.000
Hg 0.000 3.048 3.048
Hg 3.048 0.000 3.048
Hg 3.048 3.048 0.000
Br 3.048 3.048 3.048
```

Results
As for the relative energy among the computed polymorphs: 623 meV/atom. For the uncorrected formation energy, the calculation gives 0.82 eV per atom.

Entry 9:
OsI2OF | GGA-PBE | optimized geometry

Geometry as extended XYZ:
```
5
Lattice="5.460 0.000 0.000 0.000 5.460 0.000 0.000 0.000 3.708" Properties=species:S:1:pos:R:3 pbc="T T T"
Os 0.000 0.000 0.000
I 0.000 2.730 0.000
I 2.730 0.000 0.000
O 0.000 0.000 1.854
F 2.730 2.730 1.854
```

Results
As for the relative energy among the computed polymorphs: 0 meV/atom. For the uncorrected formation energy, the calculation gives -0.14 eV per atom.

Entry 10:
AlTc2Ru | GGA-PBE | optimized geometry

Geometry as extended XYZ:
```
4
Lattice="2.508 -4.135 0.000 2.508 4.135 0.000 0.000 0.000 2.781" Properties=species:S:1:pos:R:3 pbc="T T T"
Al 0.000 0.000 0.000
Tc 1.254 2.067 1.390
Tc 1.254 -2.067 1.390
Ru 2.508 0.000 0.000
```

Results
As for the relative energy among the computed polymorphs: 176 meV/atom. The calculation puts the formation energy from the elements at -0.073 eV/atom.

Entry 11:
Li2Fe2W | GGA-PBE | optimized geometry

Geometry as extended XYZ:
```
5
Lattice="-2.058 2.058 3.318 2.058 -2.058 3.318 2.058 2.058 -3.318" Properties=species:S:1:pos:R:3 pbc="T T T"
Li 0.000 0.000 0.814
Li 0.000 0.000 5.822
Fe 2.058 0.000 1.659
Fe 0.000 2.058 1.659
W 0.000 0.000 3.318
```

Results
The calculation puts the formation energy from the elements at 0.675 eV/atom.

Entry 12:
Hf6Al3C | GGA-PBE | optimized geometry

Geometry as extended XYZ:
```
20
Lattice="5.683 0.000 0.000 0.000 7.327 0.000 -5.129 0.000 9.217" Properties=species:S:1:pos:R:3 pbc="T T T"
Hf -0.707 0.337 2.112
Hf -3.271 3.327 6.721
Hf 0.644 5.198 0.482
Hf -1.920 5.793 5.091
Hf 1.983 1.087 0.425
Hf -0.581 2.577 5.034
Hf 1.135 4.751 4.183
Hf -1.429 6.240 8.792
Hf 2.475 1.534 4.127
Hf -0.090 2.130 8.736
Hf 3.825 4.000 2.497
Hf 1.261 6.991 7.106
Al -1.831 0.820 6.811
Al 0.733 2.843 2.202
Al 0.277 0.000 4.609
Al 2.842 3.664 0.000
Al -0.179 4.484 7.015
Al 2.385 6.507 2.406
C 0.000 0.000 0.000
C -2.564 3.664 4.609
```

Results
The calculation puts the formation energy from the elements at -0.269 eV/atom.

Entry 13:
Zr2TeSe | GGA-PBE | optimized geometry

Geometry as extended XYZ:
```
4
Lattice="0.000 3.476 3.476 3.476 0.000 3.476 3.476 3.476 0.000" Properties=species:S:1:pos:R:3 pbc="T T T"
Zr 1.738 1.738 1.738
Zr 5.215 5.215 5.215
Te 0.000 0.000 0.000
Se 3.476 3.476 3.476
```

Results
As for the relative energy among the computed polymorphs: 140 meV/atom. For the uncorrected formation energy, the calculation gives -0.90 eV per atom.

Entry 14:
ErSi | GGA-PBE | optimized geometry

Geometry as extended XYZ:
```
8
Lattice="-2.001 2.001 10.508 2.001 -2.001 10.508 2.001 2.001 -10.508" Properties=species:S:1:pos:R:3 pbc="T T T"
Er 2.001 1.001 -3.769
Er 0.000 1.001 1.485
Er 2.001 1.001 9.023
Er 0.000 1.001 14.276
Si 2.001 1.001 -0.796
Si 0.000 1.001 4.458
Si 2.001 1.001 6.050
Si 0.000 1.001 11.304
```

Results
For the uncorrected formation energy, the calculation gives -0.79 eV per atom.

Entry 15:
TaAu | GGA-PBE | optimized geometry

Geometry as extended XYZ:
```
4
Lattice="4.213 0.000 0.000 -2.106 3.648 0.000 0.000 0.000 5.429" Properties=species:S:1:pos:R:3 pbc="T T T"
Ta 0.000 0.000 0.000
Ta 0.000 0.000 2.714
Au 0.000 2.432 1.357
Au 2.106 1.216 4.072
```

Results
The calculation puts the formation energy from the elements at 0.528 eV/atom.

Entry 16:
Mg6Bi2Ir | GGA-PBE | optimized geometry

Geometry as extended XYZ:
```
9
Lattice="7.837 0.000 0.000 -3.919 6.787 0.000 0.000 0.000 3.969" Properties=species:S:1:pos:R:3 pbc="T T T"
Mg -1.376 2.383 0.000
Mg -3.014 5.221 1.984
Mg 0.904 1.566 1.984
Mg 2.751 0.000 0.000
Mg 2.543 4.404 0.000
Mg 6.029 0.000 1.984
Bi 0.000 4.525 1.984
Bi 3.919 2.262 1.984
Ir 0.000 0.000 0.000
```

Results
As for the relative energy among the computed polymorphs: 0 meV/atom. The calculation puts the formation energy from the elements at -0.263 eV/atom.

Entry 17:
Co2AgCl | GGA-PBE | optimized geometry

Geometry as extended XYZ:
```
4
Lattice="1.464 -2.496 0.000 1.464 2.496 0.000 0.000 0.000 8.270" Properties=species:S:1:pos:R:3 pbc="T T T"
Co 0.000 0.000 1.889
Co 0.000 0.000 6.380
Ag 1.464 0.000 4.135
Cl 1.464 0.000 0.000
```

Results
As for the relative energy among the computed polymorphs: 349 meV/atom. For the uncorrected formation energy, the calculation gives 0.55 eV per atom.

Entry 18:
MnFeP2 | GGA-PBE | optimized geometry

Geometry as extended XYZ:
```
4
Lattice="4.293 0.000 0.000 0.000 1.395 3.954 0.000 -1.395 3.954" Properties=species:S:1:pos:R:3 pbc="T T T"
Mn 0.000 0.000 0.000
Fe 2.147 0.000 3.245
P 0.000 0.000 2.267
P 2.147 0.000 0.972
```

Results
As for the relative energy among the computed polymorphs: 191 meV/atom. The calculation puts the formation energy from the elements at -0.400 eV/atom.

Entry 19:
BaBIO2 | GGA-PBE | optimized geometry

Geometry as extended XYZ:
```
5
Lattice="4.506 0.000 0.000 0.000 4.506 0.000 0.000 0.000 7.546" Properties=species:S:1:pos:R:3 pbc="T T T"
Ba 0.000 0.000 0.000
B 2.253 2.253 3.773
I 0.000 0.000 3.773
O 0.000 2.253 0.000
O 2.253 0.000 0.000
```

Results
As for the relative energy among the computed polymorphs: 614 meV/atom. For the uncorrected formation energy, the calculation gives 0.43 eV per atom.

Entry 20:
SiGeAu2F | GGA-PBE | optimized geometry

Geometry as extended XYZ:
```
5
Lattice="4.866 0.000 0.000 0.000 4.866 0.000 0.000 0.000 4.880" Properties=species:S:1:pos:R:3 pbc="T T T"
Si 0.000 0.000 0.000
Ge 0.000 0.000 2.440
Au 0.000 2.433 2.440
Au 2.433 0.000 2.440
F 2.433 2.433 0.000
```

Results
For the uncorrected formation energy, the calculation gives 0.32 eV per atom.

Entry 21:
Th4CoBi2 | GGA-PBE | optimized geometry

Geometry as extended XYZ:
```
14
Lattice="8.478 0.000 0.000 0.000 12.068 0.000 0.000 0.000 4.332" Properties=species:S:1:pos:R:3 pbc="T T T"
Th 1.166 2.414 0.000
Th 1.599 11.264 2.166
Th 2.640 5.230 2.166
Th 3.073 8.448 0.000
Th 5.404 3.619 0.000
Th 5.838 6.837 2.166
Th 6.878 0.804 2.166
Th 7.312 9.653 0.000
Co 0.000 0.000 0.000
Co 4.239 6.034 0.000
Bi 0.623 7.913 2.166
Bi 3.616 1.879 2.166
Bi 4.861 10.188 2.166
Bi 7.855 4.155 2.166
```

Results
As for the relative energy among the computed polymorphs: 0 meV/atom. The calculation puts the formation energy from the elements at -0.385 eV/atom.

Entry 22:
Be2TlCl | GGA-PBE | optimized geometry

Geometry as extended XYZ:
```
4
Lattice="7.803 -1.480 0.000 7.803 1.480 0.000 -0.019 0.000 4.238" Properties=species:S:1:pos:R:3 pbc="T T T"
Be 0.000 0.000 0.000
Be 9.650 0.000 0.007
Tl 2.487 0.000 2.129
Cl 6.415 0.000 4.232
```

Results
As for the relative energy among the computed polymorphs: 0 meV/atom. For the uncorrected formation energy, the calculation gives 0.16 eV per atom.

Entry 23:
P2IrAu | GGA-PBE | optimized geometry

Geometry as extended XYZ:
```
4
Lattice="-1.491 2.293 4.494 1.491 -2.293 4.494 1.491 2.293 -4.494" Properties=species:S:1:pos:R:3 pbc="T T T"
P 0.000 0.000 0.000
P 0.000 2.293 2.424
Ir 0.000 0.000 5.082
Au 1.491 0.000 2.517
```

Results
As for the relative energy among the computed polymorphs: 581 meV/atom. The calculation puts the formation energy from the elements at 0.356 eV/atom.

Entry 24:
ZrTeBr2 | GGA-PBE | optimized geometry

Geometry as extended XYZ:
```
4
Lattice="4.467 0.000 0.000 0.000 4.467 0.000 0.000 0.000 5.118" Properties=species:S:1:pos:R:3 pbc="T T T"
Zr 0.000 0.000 0.000
Te 2.233 2.233 0.000
Br 0.000 2.233 2.559
Br 2.233 0.000 2.559
```

Results
As for the relative energy among the computed polymorphs: 1079 meV/atom. For the uncorrected formation energy, the calculation gives 0.00 eV per atom.

Entry 25:
Cd4Te3Se | GGA-PBE | optimized geometry

Geometry as extended XYZ:
```
8
Lattice="2.305 1.331 15.009 -2.305 1.331 15.009 0.000 -2.661 15.009" Properties=species:S:1:pos:R:3 pbc="T T T"
Cd 0.000 0.000 0.000
Cd 0.000 0.000 11.146
Cd 0.000 0.000 22.298
Cd 0.000 0.000 33.454
Te 0.000 0.000 8.292
Te 0.000 0.000 19.445
Te 0.000 0.000 42.162
Se 0.000 0.000 30.768
```

Results
As for the relative energy among the computed polymorphs: 8 meV/atom. For the uncorrected formation energy, the calculation gives -0.49 eV per atom.

Entry 26:
RbSr3Cr | GGA-PBE | optimized geometry

Geometry as extended XYZ:
```
5
Lattice="6.132 0.000 0.000 0.000 6.132 0.000 0.000 0.000 6.132" Properties=species:S:1:pos:R:3 pbc="T T T"
Rb 0.000 0.000 0.000
Sr 0.000 3.066 3.066
Sr 3.066 0.000 3.066
Sr 3.066 3.066 0.000
Cr 3.066 3.066 3.066
```

Results
As for the relative energy among the computed polymorphs: 0 meV/atom. The calculation puts the formation energy from the elements at 0.792 eV/atom.

Entry 27:
LiAcScAg | GGA-PBE | optimized geometry

Geometry as extended XYZ:
```
4
Lattice="0.000 3.752 3.752 3.752 0.000 3.752 3.752 3.752 0.000" Properties=species:S:1:pos:R:3 pbc="T T T"
Li 0.000 0.000 0.000
Ac 1.876 1.876 1.876
Sc 5.629 5.629 5.629
Ag 3.752 3.752 3.752
```

Results
The calculation puts the formation energy from the elements at 0.020 eV/atom.